Mg2ZnMoO6 | Alexandria | PBE with a Hubbard U | optimized geometry; D(E_F) = 0.000 states/eV/atom; E_tot = -6.14 eV/atom; volume = 11.47 Å³/atom
1.0
2.6194 1.5123 4.8252
-2.6194 1.5123 4.8252
0.0000 -3.0247 4.8252
Mg Zn Mo O
2 1 1 6
Direct
0.0000 0.0000 0.0000
0.4962 0.4962 0.4962
0.7500 0.7500 0.7500
0.2020 0.2020 0.2020
0.1120 0.8069 0.3856
0.2646 0.5709 0.9333
0.3856 0.1120 0.8069
0.5709 0.9333 0.2646
0.8069 0.3856 0.1120
0.9333 0.2646 0.5709